1 | ! PBE-GGA BeAuBr, relaxed; values from VASP
&SYSTEM
  ibrav = 0, nat = 6, ntyp = 3
/
ATOMIC_SPECIES
Be 9.01 Be.upf
Au 196.97 Au.upf
Br 79.90 Br.upf
CELL_PARAMETERS angstrom
3.2885 0.0000 0.0000
1.6443 5.4862 0.3925
1.6443 1.6807 9.2893
ATOMIC_POSITIONS angstrom
Be 3.2885 5.8561 6.4873
Be 3.2885 1.3108 3.1944
Au 4.9328 4.9300 4.9498
Au 1.6443 2.2368 4.7320
Br 1.6443 1.3423 1.6946
Br 4.9328 5.8246 7.9872
! Total magnetic moment in μB/cell: 0.0
! Mass density in Mg/m³: 5.74
! Fermi-level density of states in states/eV per cell: 0.826



2 | ! PBE-GGA BeAuBr, relaxed; values from VASP
&SYSTEM
  ibrav = 0, nat = 3, ntyp = 3
/
ATOMIC_SPECIES
Be 9.01 Be.upf
Au 196.97 Au.upf
Br 79.90 Br.upf
CELL_PARAMETERS angstrom
-6.8562 -0.8638 -0.0764
-4.9471 -4.5516 1.6026
5.8972 3.3241 1.3900
ATOMIC_POSITIONS angstrom
Be -5.5538 -2.5481 0.7181
Au -10.5955 -4.8613 1.3701
Br -7.4572 -3.4214 0.9643
! Total magnetic moment in μB/cell: 0.0
! Mass density in Mg/m³: 7.30
! Fermi-level density of states in states/eV per cell: 0.832



Most stable = 1